Material: AlFeIO2
Method: DFT, GGA+U
State: optimized geometry

The calculation puts the energy above the most stable polymorph in this dataset at 570 meV per atom. The calculated total energy is -4.38 eV per atom. As for the density of states at the Fermi level: 1.72 states/eV/cell.

The structure belongs to space group P4/mmm (No. 123); the cell edges are 3.9578, 3.9578 and 5.8050 Å and the angles 90.00°, 90.00° and 90.00°. The asymmetric unit holds Al at (0.0000, 0.0000, 0.0000), Fe at (0.5000, 0.5000, 0.5000), I at (0.5000, 0.5000, 0.0000) and O at (0.0000, 0.5000, 0.5000).